1.
A plane-wave DFT calculation with PBE was carried out for a geometry-optimized Ba2Hf2Pd3 structure.

Computed properties:
VASP energy, eV per cell: -118.7

Cell: 5.1040 5.1040 26.4486 Å, 90.00 90.00 120.00°
Closest atoms and distances in Å follow each position.
Space group R3m (No. 160, hexagonal axes)
Inequivalent atoms, fractional coordinates:
Ba 0.0000 0.0000 0.0000 [3 per cell]  3 Hf 2.95, 4 Pd 2.97-2.98
Ba 0.0000 0.0000 0.4686 [3 per cell]  2 Pd 2.94-3.13
Hf 0.0000 0.0000 0.2510 [3 per cell]  1 Pd 2.62
Hf 0.0000 0.0000 0.6736 [3 per cell]  1 Pd 2.48
Pd 0.0000 0.0000 0.3502 [3 per cell]  1 Hf 2.62
Pd 0.0000 0.0000 0.5796 [3 per cell]  1 Hf 2.48
Pd 0.0000 0.0000 0.8878 [3 per cell]  1 Ba 2.97, 3 Pd 3.02, 3 Hf 3.05



2.
A plane-wave DFT calculation with PBE was carried out for a geometry-optimized SrZrSi2 structure.

Computed properties:
VASP energy, eV per cell: -45.6

Cell: 3.7997 4.0973 11.6431 Å, 90.00 90.00 90.00°
Closest atoms and distances in Å follow each position.
Space group Amm2 (No. 38)
Inequivalent atoms, fractional coordinates:
Sr 0.0000 0.0000 0.0000 [2 per cell]  5 Si 3.02-3.06
Zr 0.5000 0.0000 0.7251 [2 per cell]  6 Si 2.82-2.83
Si 0.0000 0.0000 0.2596 [2 per cell]  2 Si 2.46
Si 0.5000 0.0000 0.3934 [2 per cell]  2 Si 2.46



3.
A plane-wave DFT calculation with PBE was carried out for a geometry-optimized ScIrOs2 structure.

Computed properties:
Energy relative to the elements, meV/atom: 136
VASP energy, eV per cell: -148.4

Cell: 6.2918 6.2918 6.2918 Å, 90.00 90.00 90.00°
Closest atoms and distances in Å follow each position.
Space group F-43m (No. 216)
Inequivalent atoms, fractional coordinates:
Sc 0.0000 0.0000 0.0000 [4 per cell]  4 Ir 2.72, 4 Os 2.72
Ir 0.2500 0.2500 0.2500 [4 per cell]  4 Os 2.72, 4 Sc 2.72
Os 0.0000 0.0000 0.5000 [4 per cell]  4 Os 2.72, 4 Ir 2.72
Os 0.2500 0.2500 0.7500 [4 per cell]  4 Os 2.72, 4 Sc 2.72



4.
A plane-wave DFT calculation with PBE was carried out for a geometry-optimized Li4HfTeO6 structure.

Computed properties:
VASP energy, eV per cell: -151.2

Cell: 5.4207 9.4005 5.2191 Å, 90.00 110.34 90.00°
Closest atoms and distances in Å follow each position.
Space group C2 (No. 5)
Inequivalent atoms, fractional coordinates:
Li 0.0000 0.0000 0.0000 [2 per cell]  6 O 2.16-2.30
Li 0.0000 0.1485 0.5000 [2 per cell]  6 O 2.19-2.23
Li 0.0000 0.3042 0.0000 [2 per cell]  6 O 2.08-2.28
Li 0.0000 0.6493 0.0000 [2 per cell]  6 O 2.14-2.27
Hf 0.0000 0.8159 0.5000 [2 per cell]  6 O 2.09
Te 0.0000 0.4799 0.5000 [2 per cell]  6 O 2.14-2.23
O 0.2379 0.6583 0.7469 [4 per cell]  4 Li 2.08-2.23, 1 Hf 2.09, 1 Te 2.23
O 0.2419 0.9749 0.7405 [4 per cell]  1 Hf 2.09, 1 Te 2.18, 4 Li 2.19-2.27
O 0.2431 0.8185 0.2648 [4 per cell]  1 Hf 2.09, 1 Te 2.14, 4 Li 2.19-2.30